The following is a PBE+U calculation of a relaxed CaCoAs2O7 crystal, from Alexandria.

It has space group P2_1/c (No. 14), with a = 7.4896 Å, b = 9.0813 Å, c = 9.5064 Å, α = 90.00°, β = 110.85° and γ = 90.00°. The inequivalent atoms are Ca at (0.2414, 0.0648, 0.0638), Co at (0.3060, 0.0531, 0.6929), As at (0.0814, 0.7377, 0.7697), As at (0.4853, 0.7027, 0.0472), O at (0.0701, 0.6347, 0.6172), O at (0.1281, 0.2341, 0.6977), O at (0.1640, 0.5855, 0.2829), O at (0.2513, 0.6441, 0.9310), O at (0.3561, 0.1939, 0.5440), O at (0.4799, 0.0824, 0.3084) and O at (0.4912, 0.6172, 0.6005).

As for the density of states at the Fermi level: 0.000 states/eV/f.u. The value obtained for the total magnetization is 12.07 Bohr magnetons per cell. Its total energy is -0.2304 Ha/atom.